A.
Compound: Tb2Pm2Cd
Source: the Alexandria database
Functional: GGA-PBE
Structure: relaxed

a = 11.972 Å, b = 11.972 Å, c = 11.972 Å
α = 162.56°, β = 162.56°, γ = 24.76°
Fractional positions:
Tb 0.087 0.087 0.000
Tb 0.913 0.913 0.000
Pm 0.306 0.306 0.000
Pm 0.694 0.694 0.000
Cd 0.500 0.500 0.000

density: 7.8 g/cm3
V: 154 Å³ per cell

---

B.
Compound: Tb2Pm2Cd
Source: the Alexandria database
Functional: GGA-PBE
Structure: relaxed

a = 12.909 Å, b = 12.909 Å, c = 12.909 Å
α = 156.85°, β = 156.85°, γ = 32.97°
Fractional positions:
Tb 0.054 0.304 0.750
Tb 0.304 0.054 0.250
Tb 0.696 0.946 0.750
Tb 0.946 0.696 0.250
Pm 0.203 0.453 0.750
Pm 0.453 0.203 0.250
Pm 0.547 0.797 0.750
Pm 0.797 0.547 0.250
Cd 0.375 0.625 0.750
Cd 0.625 0.375 0.250

density: 7.2 g/cm3
V: 332 Å³ per cell

---

Which structure loses on stability? B does.

---

A.
Compound: TbPmCd4
Source: the Alexandria database
Functional: GGA-PBE
Structure: relaxed

a = 3.453 Å, b = 5.030 Å, c = 8.692 Å
α = 90.00°, β = 90.09°, γ = 90.00°
Fractional positions:
Tb 0.000 0.000 0.000
Pm 0.000 0.500 0.500
Cd 0.499 0.000 0.330
Cd 0.499 0.500 0.836
Cd 0.501 0.000 0.670
Cd 0.501 0.500 0.164

density: 8.3 g/cm3
V: 151 Å³ per cell

---

B.
Compound: TbPmCd4
Source: the Alexandria database
Functional: GGA-PBE
Structure: relaxed

a = 5.950 Å, b = 5.950 Å, c = 5.950 Å
α = 60.00°, β = 60.00°, γ = 60.00°
Fractional positions:
Tb 0.000 0.000 0.000
Pm 0.750 0.750 0.750
Cd 0.375 0.375 0.375
Cd 0.375 0.375 0.875
Cd 0.375 0.875 0.375
Cd 0.875 0.375 0.375

density: 8.4 g/cm3
V: 149 Å³ per cell

---

Which structure loses on stability? B does.

---

A.
Compound: Tb3PmCd
Source: the Alexandria database
Functional: GGA-PBE
Structure: relaxed

a = 6.763 Å, b = 6.763 Å, c = 12.703 Å
α = 93.18°, β = 93.18°, γ = 31.78°
Fractional positions:
Tb 0.037 0.037 0.189
Tb 0.146 0.146 0.447
Tb 0.366 0.366 0.023
Tb 0.634 0.634 0.977
Tb 0.854 0.854 0.553
Tb 0.963 0.963 0.811
Pm 0.232 0.232 0.753
Pm 0.768 0.768 0.247
Cd 0.445 0.445 0.374
Cd 0.555 0.555 0.626

density: 8.0 g/cm3
V: 305 Å³ per cell

---

B.
Compound: Tb3PmCd
Source: the Alexandria database
Functional: GGA-PBE
Structure: relaxed

a = 9.908 Å, b = 9.908 Å, c = 6.455 Å
α = 100.46°, β = 100.46°, γ = 83.72°
Fractional positions:
Tb 0.037 0.169 0.469
Tb 0.126 0.503 0.369
Tb 0.169 0.037 0.969
Tb 0.234 0.368 0.865
Tb 0.368 0.234 0.365
Tb 0.497 0.874 0.131
Tb 0.503 0.126 0.869
Tb 0.632 0.766 0.635
Tb 0.766 0.632 0.135
Tb 0.831 0.963 0.031
Tb 0.874 0.497 0.631
Tb 0.963 0.831 0.531
Pm 0.101 0.708 0.011
Pm 0.292 0.899 0.489
Pm 0.708 0.101 0.511
Pm 0.899 0.292 0.989
Cd 0.361 0.639 0.750
Cd 0.415 0.585 0.250
Cd 0.585 0.415 0.750
Cd 0.639 0.361 0.250

density: 8.0 g/cm3
V: 611 Å³ per cell

---

Which structure loses on stability? B does.

---

A.
Compound: TbPm6Cd2
Source: the Alexandria database
Functional: GGA-PBE
Structure: relaxed

a = 6.720 Å, b = 6.720 Å, c = 12.167 Å
α = 108.02°, β = 108.02°, γ = 32.99°
Fractional positions:
Tb 0.000 0.000 0.000
Pm 0.019 0.019 0.338
Pm 0.311 0.311 0.412
Pm 0.315 0.315 0.123
Pm 0.685 0.685 0.877
Pm 0.689 0.689 0.588
Pm 0.981 0.981 0.662
Cd 0.357 0.357 0.799
Cd 0.643 0.643 0.201

density: 7.4 g/cm3
V: 283 Å³ per cell

---

B.
Compound: TbPm6Cd2
Source: the Alexandria database
Functional: GGA-PBE
Structure: relaxed

a = 9.752 Å, b = 9.752 Å, c = 6.214 Å
α = 94.58°, β = 94.58°, γ = 73.29°
Fractional positions:
Tb 0.102 0.898 0.750
Tb 0.898 0.102 0.250
Pm 0.032 0.732 0.187
Pm 0.097 0.352 0.337
Pm 0.268 0.968 0.313
Pm 0.317 0.570 0.491
Pm 0.352 0.097 0.837
Pm 0.430 0.683 0.009
Pm 0.570 0.317 0.991
Pm 0.648 0.903 0.163
Pm 0.683 0.430 0.509
Pm 0.732 0.032 0.687
Pm 0.903 0.648 0.663
Pm 0.968 0.268 0.813
Cd 0.213 0.459 0.908
Cd 0.459 0.213 0.408
Cd 0.541 0.787 0.592
Cd 0.787 0.541 0.092

density: 7.4 g/cm3
V: 563 Å³ per cell

---

Which structure loses on stability? B does.

---

A.
Compound: Tb2PmCd
Source: the Alexandria database
Functional: GGA-PBE
Structure: relaxed

a = 5.489 Å, b = 5.489 Å, c = 5.489 Å
α = 60.00°, β = 60.00°, γ = 60.00°
Fractional positions:
Tb 0.250 0.250 0.250
Tb 0.750 0.750 0.750
Pm 0.000 0.000 0.000
Cd 0.500 0.500 0.500

density: 8.2 g/cm3
V: 117 Å³ per cell

---

B.
Compound: Tb2PmCd
Source: the Alexandria database
Functional: GGA-PBE
Structure: relaxed

a = 4.893 Å, b = 4.893 Å, c = 4.884 Å
α = 90.00°, β = 90.00°, γ = 90.00°
Fractional positions:
Tb 0.000 0.500 0.000
Tb 0.500 0.000 0.000
Pm 0.000 0.000 0.500
Cd 0.500 0.500 0.500

density: 8.2 g/cm3
V: 117 Å³ per cell

---

C.
Compound: Tb2PmCd
Source: the Alexandria database
Functional: GGA-PBE
Structure: relaxed

a = 3.632 Å, b = 3.632 Å, c = 9.057 Å
α = 90.00°, β = 90.00°, γ = 90.00°
Fractional positions:
Tb 0.000 0.000 0.223
Tb 0.000 0.000 0.777
Pm 0.500 0.500 0.500
Cd 0.500 0.500 0.000

density: 8.0 g/cm3
V: 119 Å³ per cell

---

D.
Compound: Tb2PmCd
Source: the Alexandria database
Functional: GGA-PBE
Structure: relaxed

a = 11.038 Å, b = 11.038 Å, c = 11.038 Å
α = 18.91°, β = 18.91°, γ = 18.91°
Fractional positions:
Tb 0.000 0.000 0.000
Tb 0.181 0.181 0.181
Pm 0.424 0.424 0.424
Cd 0.590 0.590 0.590

density: 7.7 g/cm3
V: 123 Å³ per cell

---

Which structure loses on stability? A does.

---

A.
Compound: Tb5Pm4Cd
Source: the Alexandria database
Functional: GGA-PBE
Structure: relaxed

a = 8.114 Å, b = 8.114 Å, c = 8.114 Å
α = 97.35°, β = 97.35°, γ = 138.10°
Fractional positions:
Tb 0.000 0.000 0.000
Tb 0.519 0.519 0.632
Tb 0.519 0.887 0.000
Tb 0.887 0.519 0.000
Tb 0.887 0.887 0.368
Pm 0.191 0.508 0.317
Pm 0.191 0.874 0.683
Pm 0.508 0.191 0.317
Pm 0.874 0.191 0.683
Cd 0.480 0.480 0.000

density: 7.4 g/cm3
V: 333 Å³ per cell

---

B.
Compound: Tb5Pm4Cd
Source: the Alexandria database
Functional: GGA-PBE
Structure: relaxed

a = 3.603 Å, b = 4.929 Å, c = 17.810 Å
α = 90.00°, β = 90.00°, γ = 90.00°
Fractional positions:
Tb 0.000 0.000 0.000
Tb 0.000 0.000 0.207
Tb 0.000 0.000 0.410
Tb 0.000 0.000 0.590
Tb 0.000 0.000 0.793
Pm 0.500 0.500 0.103
Pm 0.500 0.500 0.304
Pm 0.500 0.500 0.696
Pm 0.500 0.500 0.897
Cd 0.500 0.500 0.500

density: 7.8 g/cm3
V: 316 Å³ per cell

---

Which structure loses on stability? A does.